Entry 1:
Compound: ZrTcPt2
Source: Alexandria
Functional: meta-GGA SCAN
Structure: PBEsol geometry

Geometry as POSCAR:
```
ZrTcPt2
1.0
3.917 0.000 0.000
0.000 3.917 0.000
-1.959 -1.959 4.087
Pt Tc Zr
2 1 1
Cartesian
0.000 1.959 2.044
1.959 0.000 2.044
1.959 1.959 0.000
0.000 0.000 0.000
```

As for the density of states at the Fermi level: 0.64 states/eV per atom. For the formation energy, the calculation gives -0.79 eV/atom. As for the energy above the most stable polymorph in this dataset: 0 meV/atom.

***

Entry 2:
Compound: ZrTcPt2
Source: Alexandria
Functional: meta-GGA SCAN
Structure: PBEsol geometry

Geometry as POSCAR:
```
ZrTcPt2
1.0
-2.535 -0.164 1.184
-2.215 -0.777 -1.532
0.030 -9.278 2.099
Pt Tc Zr
2 1 1
Cartesian
0.021 -9.228 2.087
-3.551 -7.602 1.298
-2.333 -5.258 0.912
-1.186 -2.518 0.429
```

As for the density of states at the Fermi level: 0.87 states/eV per atom. For the formation energy, the calculation gives -0.13 eV/atom. As for the energy above the most stable polymorph in this dataset: 656 meV/atom.

***

Entry 3:
Compound: ZrTc2Pt
Source: Alexandria
Functional: meta-GGA SCAN
Structure: PBEsol geometry

Geometry as POSCAR:
```
ZrTc2Pt
1.0
-0.292 0.770 -2.668
-0.399 -4.261 -1.185
-4.958 0.040 1.525
Pt Tc Zr
1 2 1
Cartesian
-3.862 -2.029 0.277
-0.267 0.080 -0.199
-1.371 -1.528 -2.363
-2.775 0.431 -0.616
```

As for the density of states at the Fermi level: 0.65 states/eV per atom. For the formation energy, the calculation gives -0.39 eV/atom. As for the energy above the most stable polymorph in this dataset: 0 meV/atom.

***

Entry 4:
Compound: TePt2
Source: Alexandria
Functional: meta-GGA SCAN
Structure: PBEsol geometry

Geometry as POSCAR:
```
TePt2
1.0
-1.339 3.352 -1.507
-0.614 -3.374 -1.882
-7.447 -1.042 4.298
Te Pt
2 4
Cartesian
-5.585 -0.782 3.223
-1.862 -0.261 1.074
-5.210 -1.741 0.756
-1.729 1.022 -1.268
-4.189 0.677 0.152
-7.671 -2.086 2.176
```

As for the density of states at the Fermi level: 0.45 states/eV per atom. The value obtained for the formation energy (no corrections) is -0.298 eV per atom. As for the energy above the most stable polymorph in this dataset: 0 meV/atom.

***

Entry 5:
Compound: TePt2
Source: Alexandria
Functional: meta-GGA SCAN
Structure: PBEsol geometry

Geometry as POSCAR:
```
TePt2
1.0
5.374 0.000 0.000
2.687 4.654 0.000
2.687 1.551 4.388
Pt Te
4 2
Cartesian
1.344 0.776 0.548
2.687 1.551 2.742
2.687 3.103 0.548
4.031 0.776 0.548
5.374 3.103 2.194
8.061 4.654 3.291
```

As for the density of states at the Fermi level: 0.78 states/eV per atom. The value obtained for the formation energy (no corrections) is 0.251 eV per atom. As for the energy above the most stable polymorph in this dataset: 549 meV/atom.

***

Entry 6:
Compound: Te3Pt2
Source: Alexandria
Functional: meta-GGA SCAN
Structure: PBEsol geometry

Geometry as POSCAR:
```
Te3Pt2
1.0
4.010 0.000 0.000
2.005 3.473 0.000
2.005 1.158 16.754
Te Pt
6 4
Cartesian
2.005 1.158 14.840
6.016 3.473 1.914
2.005 1.158 9.608
6.016 3.473 7.146
2.005 1.158 4.428
6.016 3.473 12.327
4.010 2.315 16.043
4.010 2.315 0.711
4.010 2.315 10.950
4.010 2.315 5.804
```

As for the density of states at the Fermi level: 0.25 states/eV per atom. The value obtained for the formation energy (no corrections) is -0.525 eV per atom.

***

Entry 7:
Compound: TePt2
Source: Alexandria
Functional: meta-GGA SCAN
Structure: PBEsol geometry

Geometry as POSCAR:
```
TePt2
1.0
3.820 0.000 0.000
0.000 5.243 -0.001
-1.910 -0.893 5.617
Te Pt
2 4
Cartesian
0.000 1.371 1.535
1.910 2.979 4.081
1.910 0.340 3.518
0.000 0.410 5.383
1.910 3.940 0.233
0.000 4.010 2.098
```

As for the density of states at the Fermi level: 0.48 states/eV per atom. The value obtained for the formation energy (no corrections) is -0.275 eV per atom. As for the energy above the most stable polymorph in this dataset: 23 meV/atom.

***

Entry 8:
Compound: TePt2
Source: Alexandria
Functional: meta-GGA SCAN
Structure: PBEsol geometry

Geometry as POSCAR:
```
TePt2
1.0
-1.012 3.016 -1.361
-2.498 -1.630 -1.754
-4.214 0.598 8.859
Pt Te
4 2
Cartesian
-4.357 2.342 4.030
-5.103 1.104 6.241
-2.624 1.967 1.910
-2.622 0.881 -0.498
-4.234 -0.169 2.774
0.000 0.000 0.000
```

As for the density of states at the Fermi level: 0.46 states/eV per atom. The value obtained for the formation energy (no corrections) is 0.074 eV per atom. As for the energy above the most stable polymorph in this dataset: 372 meV/atom.

***

Entry 9:
Compound: TePt2
Source: Alexandria
Functional: meta-GGA SCAN
Structure: PBEsol geometry

Geometry as POSCAR:
```
TePt2
1.0
3.751 0.000 0.000
0.000 5.407 -0.039
-1.876 -1.772 5.457
Pt Te
4 2
Cartesian
1.876 -0.396 5.115
0.000 3.138 4.023
1.876 0.497 1.395
0.000 4.031 0.303
1.876 3.085 1.962
0.000 0.550 3.456
```

As for the density of states at the Fermi level: 0.50 states/eV per atom. The value obtained for the formation energy (no corrections) is -0.199 eV per atom. As for the energy above the most stable polymorph in this dataset: 100 meV/atom.

***

Entry 10:
Compound: TePt2
Source: Alexandria
Functional: meta-GGA SCAN
Structure: PBEsol geometry

Geometry as POSCAR:
```
TePt2
1.0
3.915 0.000 0.000
0.000 3.912 0.000
0.000 1.956 7.855
Te Pt
2 4
Cartesian
0.979 1.956 2.810
2.936 3.912 5.044
0.979 3.912 6.876
0.979 3.912 1.086
2.936 1.956 6.768
2.936 1.956 0.979
```

As for the density of states at the Fermi level: 0.58 states/eV per atom. The value obtained for the formation energy (no corrections) is -0.219 eV per atom. As for the energy above the most stable polymorph in this dataset: 79 meV/atom.

***

Entry 11:
Compound: TiTe3Pt
Source: Alexandria
Functional: meta-GGA SCAN
Structure: PBEsol geometry

Geometry as POSCAR:
```
TiTe3Pt
1.0
5.209 0.000 0.000
0.000 5.209 0.000
0.000 0.000 5.209
Te Pt Ti
3 1 1
Cartesian
0.000 2.605 0.000
0.000 0.000 2.605
2.605 0.000 0.000
0.000 0.000 0.000
2.605 2.605 2.605
```

As for the density of states at the Fermi level: 0.75 states/eV per atom. The value obtained for the formation energy (no corrections) is 0.359 eV per atom.

***

Entry 12:
Compound: TiTlTePt2
Source: Alexandria
Functional: meta-GGA SCAN
Structure: PBEsol geometry

Geometry as POSCAR:
```
TiTlTePt2
1.0
-2.906 1.098 3.642
1.421 -3.938 2.321
3.829 2.702 2.240
Tl Te Pt Ti
1 1 2 1
Cartesian
1.172 -0.069 4.102
1.915 1.351 1.120
0.711 -1.969 1.160
-1.453 0.549 1.821
0.000 0.000 0.000
```

As for the density of states at the Fermi level: 0.64 states/eV per atom. The value obtained for the formation energy (no corrections) is 0.240 eV per atom.

***

Entry 13:
Compound: TlTe2Pt
Source: Alexandria
Functional: meta-GGA SCAN
Structure: PBEsol geometry

Geometry as POSCAR:
```
TlTe2Pt
1.0
-2.318 -2.836 -0.955
3.490 -1.845 4.512
-4.497 3.164 1.518
Pt Te Tl
1 2 1
Cartesian
-2.248 1.582 0.759
-3.281 -0.504 1.958
-0.044 -1.013 3.117
-1.159 -1.418 -0.477
```

As for the density of states at the Fermi level: 0.50 states/eV per atom. The value obtained for the formation energy (no corrections) is -0.223 eV per atom. As for the energy above the most stable polymorph in this dataset: 145 meV/atom.

***

Entry 14:
Compound: TlTe2Pt
Source: Alexandria
Functional: meta-GGA SCAN
Structure: PBEsol geometry

Geometry as POSCAR:
```
TlTe2Pt
1.0
6.413 0.000 0.000
0.000 6.413 0.000
-3.206 -3.206 6.291
Tl Te Pt
2 4 2
Cartesian
0.000 3.206 3.146
0.000 0.000 0.000
1.948 4.809 1.573
4.465 1.603 1.573
-1.603 -1.259 4.718
1.603 1.259 4.718
3.206 0.000 3.146
3.206 3.206 0.000
```

As for the density of states at the Fermi level: 0.57 states/eV per atom. The value obtained for the formation energy (no corrections) is -0.186 eV per atom. As for the energy above the most stable polymorph in this dataset: 182 meV/atom.

***

Entry 15:
Compound: TlTe2Pt
Source: Alexandria
Functional: meta-GGA SCAN
Structure: PBEsol geometry

Geometry as POSCAR:
```
TlTe2Pt
1.0
4.027 0.000 0.000
2.013 3.487 0.000
2.013 1.162 7.540
Tl Te Pt
1 2 1
Cartesian
4.027 2.325 3.770
2.013 1.162 1.389
6.040 3.487 6.151
0.000 0.000 0.000
```

As for the density of states at the Fermi level: 0.36 states/eV per atom. The value obtained for the formation energy (no corrections) is -0.368 eV per atom. As for the energy above the most stable polymorph in this dataset: 0 meV/atom.

***

Entry 16:
Compound: TlTe2Pt
Source: Alexandria
Functional: meta-GGA SCAN
Structure: PBEsol geometry

Geometry as POSCAR:
```
TlTe2Pt
1.0
-1.281 0.804 -3.097
2.889 -1.144 -1.492
-3.320 -7.598 -0.601
Pt Te Tl
1 2 1
Cartesian
-0.856 -3.969 -2.595
-2.295 -5.254 -0.415
-1.024 -2.345 -0.185
0.804 -0.170 -2.294
```

As for the density of states at the Fermi level: 0.52 states/eV per atom. The value obtained for the formation energy (no corrections) is 0.107 eV per atom. As for the energy above the most stable polymorph in this dataset: 475 meV/atom.

***

Entry 17:
Compound: TlTe4Pt
Source: Alexandria
Functional: meta-GGA SCAN
Structure: PBEsol geometry

Geometry as POSCAR:
```
TlTe4Pt
1.0
-2.087 1.635 -5.567
0.804 -3.760 -4.821
-4.834 -2.931 -2.464
Pt Te Tl
1 4 1
Cartesian
0.000 0.000 0.000
-2.281 -1.885 -4.793
-4.738 -3.375 -6.045
-3.342 -1.054 -7.623
-1.873 -3.797 -7.243
-4.588 -3.792 -9.639
```

As for the density of states at the Fermi level: 0.54 states/eV per atom. The value obtained for the formation energy (no corrections) is 0.648 eV per atom.

***

Entry 18:
Compound: TePt4W
Source: Alexandria
Functional: meta-GGA SCAN
Structure: PBEsol geometry

Geometry as POSCAR:
```
TePt4W
1.0
-4.387 0.629 -2.785
-4.393 -2.448 1.449
-3.990 2.742 1.987
Pt Te W
4 1 1
Cartesian
-4.781 0.345 0.244
-6.786 1.723 1.243
-6.985 0.662 -1.155
-6.988 -0.885 0.972
-9.578 0.692 0.489
0.000 0.000 0.000
```

As for the density of states at the Fermi level: 0.78 states/eV per atom. The value obtained for the formation energy (no corrections) is 0.493 eV per atom.

***

Entry 19:
Compound: TePtW2
Source: Alexandria
Functional: meta-GGA SCAN
Structure: PBEsol geometry

Geometry as POSCAR:
```
TePtW2
1.0
3.056 0.000 0.000
0.000 4.812 -0.195
-1.528 -1.266 4.602
Pt Te W
1 1 2
Cartesian
1.528 2.692 -0.067
1.528 0.389 2.286
1.528 -1.075 4.587
0.000 2.680 2.107
```

As for the density of states at the Fermi level: 0.61 states/eV per atom. The value obtained for the formation energy (no corrections) is 0.498 eV per atom.

***

Entry 20:
Compound: TePtW
Source: Alexandria
Functional: meta-GGA SCAN
Structure: PBEsol geometry

Geometry as POSCAR:
```
TePtW
1.0
-1.235 4.231 -0.074
-4.132 1.109 1.063
-0.810 2.126 3.776
Pt Te W
1 1 1
Cartesian
0.000 0.000 0.000
-3.089 3.733 2.383
-1.544 1.867 1.191
```

As for the density of states at the Fermi level: 1.05 states/eV per atom. The value obtained for the formation energy (no corrections) is 0.414 eV per atom.

***

Entry 21:
Compound: YTePt3
Source: Alexandria
Functional: meta-GGA SCAN
Structure: PBEsol geometry

Geometry as POSCAR:
```
YTePt3
1.0
-0.611 1.234 -4.698
-3.171 -3.688 -0.556
-3.680 2.973 1.260
Y Te Pt
1 1 3
Cartesian
-3.731 0.260 -1.997
0.000 0.000 0.000
-1.585 -1.844 -0.278
-1.840 1.487 0.630
-0.305 0.617 -2.349
```

As for the density of states at the Fermi level: 0.45 states/eV per atom. The value obtained for the formation energy (no corrections) is -0.120 eV per atom.

***

Entry 22:
Compound: ZnTePt2
Source: Alexandria
Functional: meta-GGA SCAN
Structure: PBEsol geometry

Geometry as POSCAR:
```
ZnTePt2
1.0
-3.640 -1.150 0.339
0.756 -1.167 3.578
-1.230 4.389 1.691
Pt Te Zn
2 1 1
Cartesian
0.597 -1.167 3.463
-3.044 1.040 2.074
-1.610 -1.159 1.837
-0.743 1.032 3.770
```

As for the density of states at the Fermi level: 0.39 states/eV per atom. The value obtained for the formation energy (no corrections) is -0.244 eV per atom.

***

Entry 23:
Compound: Zn4TePt
Source: Alexandria
Functional: meta-GGA SCAN
Structure: PBEsol geometry

Geometry as POSCAR:
```
Zn4TePt
1.0
5.129 0.000 0.000
2.565 4.442 0.000
2.565 1.481 4.188
Pt Te Zn
1 1 4
Cartesian
2.565 1.481 1.047
0.000 0.000 0.000
5.129 2.961 0.534
3.855 3.697 2.614
5.129 1.490 2.614
6.403 3.697 2.614
```

As for the density of states at the Fermi level: 0.37 states/eV per atom. The value obtained for the formation energy (no corrections) is 0.129 eV per atom.

***

Entry 24:
Compound: ZnTePt4
Source: Alexandria
Functional: meta-GGA SCAN
Structure: PBEsol geometry

Geometry as POSCAR:
```
ZnTePt4
1.0
5.266 0.000 0.000
2.633 4.561 0.000
2.633 1.520 4.300
Pt Te Zn
4 1 1
Cartesian
3.948 2.279 1.612
5.266 3.040 3.764
6.584 2.279 1.612
5.266 4.562 1.612
7.899 4.561 3.225
0.000 0.000 0.000
```

As for the density of states at the Fermi level: 0.27 states/eV per atom. The value obtained for the formation energy (no corrections) is 0.086 eV per atom.

***

Entry 25:
Compound: Zr2TePt
Source: Alexandria
Functional: meta-GGA SCAN
Structure: PBEsol geometry

Geometry as POSCAR:
```
Zr2TePt
1.0
-3.468 0.396 0.727
0.090 -3.859 2.528
2.802 4.316 2.278
Pt Te Zr
1 1 2
Cartesian
-1.679 -1.709 1.661
0.559 -0.736 3.067
-0.582 0.838 5.511
-1.138 1.581 2.454
```

As for the density of states at the Fermi level: 0.72 states/eV per atom. The value obtained for the formation energy (no corrections) is -0.769 eV per atom.

***

Entry 26:
Compound: ThPt
Source: Alexandria
Functional: meta-GGA SCAN
Structure: PBEsol geometry

Geometry as POSCAR:
```
ThPt
1.0
3.895 0.000 0.000
0.000 4.419 0.000
-1.947 0.000 5.548
Th Pt
2 2
Cartesian
1.947 1.105 4.033
0.000 3.314 1.515
1.947 1.105 1.054
0.000 3.314 4.493
```

As for the density of states at the Fermi level: 0.58 states/eV per atom. For the formation energy, the calculation gives -1.41 eV/atom.

***

Entry 27:
Compound: ThPt3
Source: Alexandria
Functional: meta-GGA SCAN
Structure: PBEsol geometry

Geometry as POSCAR:
```
ThPt3
1.0
-1.160 -3.668 1.626
2.309 -1.994 -2.852
3.281 0.106 2.582
Th Pt
1 3
Cartesian
0.000 0.000 0.000
0.574 -2.831 -0.613
1.060 -1.781 2.104
2.795 -0.944 -0.135
```

As for the density of states at the Fermi level: 0.20 states/eV per atom. For the formation energy, the calculation gives -1.12 eV/atom.

***

Entry 28:
Compound: ThPt2
Source: Alexandria
Functional: meta-GGA SCAN
Structure: PBEsol geometry

Geometry as POSCAR:
```
ThPt2
1.0
-1.777 0.941 -3.622
0.350 -3.950 -1.198
-5.712 0.091 5.195
Pt Th
4 2
Cartesian
0.175 -1.975 -0.599
-0.888 0.470 -1.811
-1.740 -0.383 0.754
-5.399 -2.536 -0.379
-4.411 -0.970 1.912
-2.728 -1.948 -1.537
```

As for the density of states at the Fermi level: 0.30 states/eV per atom. For the formation energy, the calculation gives -1.38 eV/atom.